Record 1
A relaxed NaSrMnH6 crystal, computed with PBE.

a b c (Å): 4.7564 4.7215 9.6415
angles (deg): 90.00 90.00 90.00
Space group Amm2 (No. 38)
Unique sites:
1 Na 0.0000 0.0000 0.0000 [2 per cell]
2 Sr 0.5000 0.0000 0.2975 [2 per cell]
3 Mn 0.0000 0.0000 0.6924 [2 per cell]
4 H 0.2333 0.2093 0.6256 [8 per cell]
5 H 0.2444 0.0000 0.8129 [4 per cell]

Calculated values
Fermi-level density of states in states/eV per cell: 3.2
V in Å³ per cell: 216.5
Final energy in eV/atom: -3.7262

***

Record 2
A relaxed Na2SrMnH8 crystal, computed with PBE.

a b c (Å): 4.8540 4.8540 6.7851
angles (deg): 90.00 90.00 120.00
Space group P-3m1 (No. 164)
Unique sites:
1 Na 0.3333 0.6667 0.3455 [2 per cell]
2 Sr 0.0000 0.0000 0.0000 [1 per cell]
3 Mn 0.0000 0.0000 0.5000 [1 per cell]
4 H 0.1554 0.3108 0.6462 [6 per cell]
5 H 0.3333 0.6667 0.0245 [2 per cell]

Calculated values
Fermi-level density of states in states/eV per cell: 2.5
V in Å³ per cell: 138.4
Final energy in eV/atom: -3.4689

***

Record 3
A relaxed Na2TiMnH crystal, computed with PBE.

a b c (Å): 3.8049 3.8049 5.2665
angles (deg): 90.00 90.00 90.00
Space group P4/mmm (No. 123)
Unique sites:
1 Na 0.0000 0.5000 0.0000 [2 per cell]
2 Ti 0.0000 0.0000 0.5000 [1 per cell]
3 Mn 0.5000 0.5000 0.5000 [1 per cell]
4 H 0.5000 0.5000 0.0000 [1 per cell]

Calculated values
Fermi-level density of states in states/eV per cell: 3.6
V in Å³ per cell: 76.2
Final energy in eV/atom: -3.7238

***

Record 4
A relaxed NaMnZnH6 crystal, computed with PBE.

a b c (Å): 4.4444 4.4444 8.4543
angles (deg): 90.00 90.00 90.00
Space group P4_2nm (No. 102)
Unique sites:
1 Na 0.0000 0.0000 0.0000 [2 per cell]
2 Mn 0.0000 0.0000 0.6571 [2 per cell]
3 Zn 0.0000 0.0000 0.3347 [2 per cell]
4 H 0.1712 0.1712 0.5086 [4 per cell]
5 H 0.2091 0.2091 0.7828 [4 per cell]
6 H 0.2369 0.2369 0.2104 [4 per cell]

Calculated values
Fermi-level density of states in states/eV per cell: 6.2
V in Å³ per cell: 167.0
Final energy in eV/atom: -3.4184

***

Record 5
A relaxed NaMnZn2H8 crystal, computed with PBE.

a b c (Å): 8.7880 3.1246 7.5576
angles (deg): 90.00 98.32 90.00
Space group C2/m (No. 12)
Unique sites:
1 Na 0.0000 0.0000 0.0000 [2 per cell]
2 Mn 0.0000 0.0000 0.5000 [2 per cell]
3 Zn 0.1954 0.5000 0.3377 [4 per cell]
4 H 0.0674 0.5000 0.5853 [4 per cell]
5 H 0.0898 0.0000 0.3277 [4 per cell]
6 H 0.1092 0.0000 0.6898 [4 per cell]
7 H 0.1613 0.5000 0.1162 [4 per cell]

Calculated values
V in Å³ per cell: 205.3
Final energy in eV/atom: -3.2628

***

Record 6
A relaxed MnNbH2 crystal, computed with PBE.

a b c (Å): 5.1700 5.1700 5.1700
angles (deg): 90.00 90.00 90.00
Space group Fm-3m (No. 225)
Unique sites:
1 Mn 0.0000 0.0000 0.0000 [4 per cell]
2 Nb 0.0000 0.0000 0.5000 [4 per cell]
3 H 0.2500 0.2500 0.2500 [8 per cell]

Calculated values
Fermi-level density of states in states/eV per cell: 16.5
V in Å³ per cell: 138.2
Final energy in eV/atom: -6.0789

***

Record 7
A relaxed MnNbH2 crystal, computed with PBE.

a b c (Å): 5.8179 5.4908 4.3291
angles (deg): 90.00 90.00 90.00
Space group Pna2_1 (No. 33)
Unique sites:
1 Mn 0.0383 0.1928 0.0000 [4 per cell]
2 Nb 0.1605 0.6309 0.9849 [4 per cell]
3 H 0.0191 0.0928 0.6333 [4 per cell]
4 H 0.1670 0.5777 0.4888 [4 per cell]

Calculated values
Fermi-level density of states in states/eV per cell: 1.4
V in Å³ per cell: 138.3
Final energy in eV/atom: -6.5390

***

Record 8
A relaxed MnNbH crystal, computed with PBE.

a b c (Å): 9.5442 2.8192 4.7622
angles (deg): 90.00 102.87 90.00
Space group C2/m (No. 12)
Unique sites:
1 Mn 0.1388 0.0000 0.3824 [4 per cell]
2 Nb 0.1049 0.5000 0.8344 [4 per cell]
3 H 0.2390 0.5000 0.2655 [4 per cell]

Calculated values
Fermi-level density of states in states/eV per cell: 10.9
V in Å³ per cell: 124.9
Final energy in eV/atom: -7.5274

***

Record 9
A relaxed Mn2NbH crystal, computed with PBE.

a b c (Å): 7.0608 7.0608 7.0608
angles (deg): 90.00 90.00 90.00
Space group Fd-3m (No. 227, origin choice 2)
Unique sites:
1 Mn 0.0000 0.0000 0.0000 [16 per cell]
2 Nb 0.1250 0.1250 0.6250 [8 per cell]
3 H 0.1250 0.1250 0.1250 [8 per cell]

Calculated values
Fermi-level density of states in states/eV per cell: 24.0
V in Å³ per cell: 352.0
Final energy in eV/atom: -7.8145

***

Record 10
A relaxed Mn5Nb3H12 crystal, computed with PBE.

a b c (Å): 10.7605 10.7605 10.7605
angles (deg): 90.00 90.00 90.00
Space group Ia-3d (No. 230)
Unique sites:
1 Mn 0.0000 0.0000 0.0000 [16 per cell]
2 Mn 0.0000 0.2500 0.3750 [24 per cell]
3 Nb 0.0000 0.2500 0.1250 [24 per cell]
4 H 0.0161 0.0653 0.6486 [96 per cell]

Calculated values
Fermi-level density of states in states/eV per cell: 31.3
V in Å³ per cell: 1245.9
Final energy in eV/atom: -5.8536

***

Record 11
A relaxed MnNbH2 crystal, computed with PBE.

a b c (Å): 2.8671 2.8671 15.3482
angles (deg): 90.00 90.00 120.00
Space group R3m (No. 160, hexagonal axes)
Unique sites:
1 Mn 0.0000 0.0000 0.0000 [3 per cell]
2 Nb 0.0000 0.0000 0.1729 [3 per cell]
3 H 0.0000 0.0000 0.4088 [3 per cell]
4 H 0.0000 0.0000 0.5977 [3 per cell]

Calculated values
Fermi-level density of states in states/eV per cell: 6.0
V in Å³ per cell: 109.3
Final energy in eV/atom: -6.3610

***

Record 12
A relaxed MnNbH4 crystal, computed with PBE.

a b c (Å): 5.0664 7.6194 5.1747
angles (deg): 90.00 116.80 90.00
Space group C2/c (No. 15)
Unique sites:
1 Mn 0.0000 0.0430 0.2500 [4 per cell]
2 Nb 0.0000 0.3827 0.2500 [4 per cell]
3 H 0.0489 0.1399 0.5641 [8 per cell]
4 H 0.1552 0.3956 0.6731 [8 per cell]

Calculated values
Fermi-level density of states in states/eV per cell: 12.6
V in Å³ per cell: 178.3
Final energy in eV/atom: -5.4474

***

Record 13
A relaxed Mn2NbH crystal, computed with PBE.

a b c (Å): 5.8324 5.8324 5.8324
angles (deg): 90.00 90.00 90.00
Space group Fm-3m (No. 225)
Unique sites:
1 Mn 0.2500 0.2500 0.2500 [8 per cell]
2 Nb 0.0000 0.0000 0.0000 [4 per cell]
3 H 0.0000 0.0000 0.5000 [4 per cell]

Calculated values
Fermi-level density of states in states/eV per cell: 17.8
V in Å³ per cell: 198.4
Final energy in eV/atom: -7.2040

***

Record 14
A relaxed MnNb2H6 crystal, computed with PBE.

a b c (Å): 3.1296 4.4679 9.3954
angles (deg): 90.00 90.00 90.00
Space group Immm (No. 71)
Unique sites:
1 Mn 0.0000 0.0000 0.0000 [2 per cell]
2 Nb 0.0000 0.0000 0.3365 [4 per cell]
3 H 0.0000 0.2361 0.1597 [8 per cell]
4 H 0.0000 0.2766 0.5000 [4 per cell]

Calculated values
Fermi-level density of states in states/eV per cell: 5.6
V in Å³ per cell: 131.4
Final energy in eV/atom: -5.6353

***

Record 15
A relaxed MnNbH2 crystal, computed with PBE.

a b c (Å): 3.0686 3.0686 15.1088
angles (deg): 90.00 90.00 120.00
Space group R-3m (No. 166, hexagonal axes)
Unique sites:
1 Mn 0.0000 0.0000 0.0000 [3 per cell]
2 Nb 0.0000 0.0000 0.5000 [3 per cell]
3 H 0.0000 0.0000 0.1170 [6 per cell]

Calculated values
Fermi-level density of states in states/eV per cell: 8.7
V in Å³ per cell: 123.2
Final energy in eV/atom: -6.4391

***

Record 16
A relaxed MnNbH2 crystal, computed with PBE.

a b c (Å): 4.0584 4.0584 8.6653
angles (deg): 90.00 90.00 90.00
Space group I-42d (No. 122)
Unique sites:
1 Mn 0.0000 0.0000 0.0000 [4 per cell]
2 Nb 0.0000 0.0000 0.5000 [4 per cell]
3 H 0.1949 0.2500 0.1250 [8 per cell]

Calculated values
Fermi-level density of states in states/eV per cell: 9.1
V in Å³ per cell: 142.7
Final energy in eV/atom: -6.4775

***

Record 17
A relaxed MnNbNi2H crystal, computed with PBE.

a b c (Å): 3.6436 3.6436 3.9408
angles (deg): 90.00 90.00 90.00
Space group P4/mmm (No. 123)
Unique sites:
1 Mn 0.0000 0.0000 0.0000 [1 per cell]
2 Nb 0.5000 0.5000 0.0000 [1 per cell]
3 Ni 0.0000 0.5000 0.5000 [2 per cell]
4 H 0.0000 0.0000 0.5000 [1 per cell]

Calculated values
Fermi-level density of states in states/eV per cell: 3.1
V in Å³ per cell: 52.3
Final energy in eV/atom: -6.9484

***

Record 18
A relaxed MnNb2NiH crystal, computed with PBE.

a b c (Å): 4.2188 4.2188 3.3986
angles (deg): 90.00 90.00 90.00
Space group P4/mmm (No. 123)
Unique sites:
1 Mn 0.0000 0.0000 0.0000 [1 per cell]
2 Nb 0.0000 0.5000 0.5000 [2 per cell]
3 Ni 0.5000 0.5000 0.0000 [1 per cell]
4 H 0.5000 0.5000 0.5000 [1 per cell]

Calculated values
Fermi-level density of states in states/eV per cell: 3.8
V in Å³ per cell: 60.5
Final energy in eV/atom: -7.7522

***

Record 19
A relaxed MnNbNi2H crystal, computed with PBE.

a b c (Å): 3.6338 3.6338 4.0674
angles (deg): 90.00 90.00 90.00
Space group P4/mmm (No. 123)
Unique sites:
1 Mn 0.0000 0.0000 0.0000 [1 per cell]
2 Nb 0.5000 0.5000 0.0000 [1 per cell]
3 Ni 0.0000 0.5000 0.5000 [2 per cell]
4 H 0.5000 0.5000 0.5000 [1 per cell]

Calculated values
Fermi-level density of states in states/eV per cell: 3.6
V in Å³ per cell: 53.7
Final energy in eV/atom: -6.9163

***

Record 20
A relaxed MnNb2NiH crystal, computed with PBE.

a b c (Å): 4.1352 4.1352 3.5479
angles (deg): 90.00 90.00 90.00
Space group P4/mmm (No. 123)
Unique sites:
1 Mn 0.0000 0.0000 0.0000 [1 per cell]
2 Nb 0.0000 0.5000 0.5000 [2 per cell]
3 Ni 0.5000 0.5000 0.0000 [1 per cell]
4 H 0.0000 0.0000 0.5000 [1 per cell]

Calculated values
Fermi-level density of states in states/eV per cell: 5.2
V in Å³ per cell: 60.7
Final energy in eV/atom: -7.7392

***

Record 21
A relaxed MnNb2HOs crystal, computed with PBE.

a b c (Å): 4.3218 4.3218 3.4289
angles (deg): 90.00 90.00 90.00
Space group P4/mmm (No. 123)
Unique sites:
1 Mn 0.0000 0.0000 0.0000 [1 per cell]
2 Nb 0.0000 0.5000 0.5000 [2 per cell]
3 H 0.0000 0.0000 0.5000 [1 per cell]
4 Os 0.5000 0.5000 0.0000 [1 per cell]

Calculated values
Fermi-level density of states in states/eV per cell: 4.4
V in Å³ per cell: 64.0
Final energy in eV/atom: -8.8636